Below is a relaxed Rb2Tl3In4Bi crystal, with properties calculated at the PBE level.

Total magnetization = 0.00 Bohr magnetons per cell
Mass density = 6.839 g/cm³
Total DFT energy (no corrections) = -24.85 eV per formula unit
Formation enthalpy at 0 K = -0.0977 eV per atom
Density of states at the Fermi level = 0.4717 states/eV/atom

Unit cell a=5.2256 b=5.2256 c=12.9133 alpha=90.00 beta=90.00 gamma=90.00
Space group P-4m2 (No. 115)
One atom of each set of equivalent atoms:
Rb (0.0000, 0.5000, 0.2490) x2
Tl (0.0000, 0.5000, 0.8693) x2
Tl (0.5000, 0.5000, 0.5000) x1
In (0.0000, 0.0000, 0.0000) x1
In (0.0000, 0.5000, 0.6371) x2
In (0.5000, 0.5000, 0.0000) x1
Bi (0.0000, 0.0000, 0.5000) x1